Crystalline FeCuAg2 at its relaxed geometry. Source: the Alexandria database, functional GGA-PBE.

ΔE to the lowest computed polymorph ... 0.150 eV per atom
Formation energy ... 364.5 meV/atom
Density ... 9.0 g cm⁻³
Calculated volume ... 62 Å³/cell
M_tot ... 0.72 μB/atom
Uncorrected energy ... -16.8 eV for the cell shown
Fermi-level density of states ... 0.75 states/eV/atom

Cell lengths 2.793, 4.672, 4.735 Å; angles 90.00, 90.00, 90.00 degrees
Space group Pmmm (No. 47)
One atom of each set of equivalent atoms:
Fe 0.000 0.000 0.000 [1 per cell]
Cu 0.500 0.000 0.500 [1 per cell]
Ag 0.000 0.500 0.500 [1 per cell]
Ag 0.500 0.500 0.000 [1 per cell]

---

Crystalline LiC3O at its relaxed geometry. Source: the Alexandria database, functional GGA-PBE.

ΔE to the lowest computed polymorph ... 0.520 eV per atom
Density ... 2.1 g cm⁻³
Formation energy without anion corrections ... 3.437 eV/atom
Calculated volume ... 47 Å³/cell
M_tot ... 0.00 μB/atom
Uncorrected energy ... -17.4 eV for the cell shown
Fermi-level density of states ... 0.55 states/eV/atom

Cell lengths 3.612, 3.612, 3.612 Å; angles 90.00, 90.00, 90.00 degrees
Space group Pm-3m (No. 221)
One atom of each set of equivalent atoms:
Li 0.000 0.000 0.000 [1 per cell]
C 0.000 0.000 0.500 [3 per cell]
O 0.500 0.500 0.500 [1 per cell]

---

Crystalline MnTeSe2 at its relaxed geometry. Source: the Alexandria database, functional GGA-PBE.

Density ... 5.7 g cm⁻³
Formation energy without anion corrections ... -0.111 eV/atom
Calculated volume ... 200 Å³/cell
M_tot ... 0.74 μB/atom
Uncorrected energy ... -39.5 eV for the cell shown
Fermi-level density of states ... 0.45 states/eV/atom

Cell lengths 11.478, 3.440, 5.301 Å; angles 90.00, 107.56, 90.00 degrees
Space group Cm (No. 8)
One atom of each set of equivalent atoms:
Mn 0.000 0.000 0.000 [2 per cell]
Te 0.350 0.000 0.650 [2 per cell]
Se 0.012 0.500 0.351 [2 per cell]
Se 0.156 0.500 0.011 [2 per cell]

---

Crystalline TbHf2Pa at its relaxed geometry. Source: the Alexandria database, functional GGA-PBE.

ΔE to the lowest computed polymorph ... 0.000 eV per atom
Formation energy ... 167.6 meV/atom
Density ... 12.1 g cm⁻³
Calculated volume ... 103 Å³/cell
M_tot ... 0.00 μB/atom
Uncorrected energy ... -33.4 eV for the cell shown
Fermi-level density of states ... 1.52 states/eV/atom

Cell lengths 3.823, 3.823, 7.033 Å; angles 90.00, 90.00, 90.00 degrees
Space group P4/mmm (No. 123)
One atom of each set of equivalent atoms:
Tb 0.000 0.000 0.000 [1 per cell]
Hf 0.500 0.500 0.290 [2 per cell]
Pa 0.000 0.000 0.500 [1 per cell]

---

Crystalline InCu12Au6 at its relaxed geometry. Source: the Alexandria database, functional GGA-PBE.

Formation energy ... 126.3 meV/atom
Density ... 11.2 g cm⁻³
Calculated volume ... 919 Å³/cell
M_tot ... 0.00 μB/atom
Uncorrected energy ... -207.5 eV for the cell shown
Fermi-level density of states ... 0.23 states/eV/atom

Cell lengths 11.3700, 11.3700, 8.2118 Å; angles 90.00, 90.00, 120.00 degrees
Space group R-3m (No. 166, hexagonal axes)
One atom of each set of equivalent atoms:
In 0.0000 0.0000 0.0000 [3 per cell]
Cu 0.0000 0.3921 0.5000 [18 per cell]
Cu 0.0778 0.1556 0.2644 [18 per cell]
Au 0.0654 0.5327 0.2303 [18 per cell]

---

Crystalline BaSrIr at its relaxed geometry. Source: the Alexandria database, functional GGA-PBE.

ΔE to the lowest computed polymorph ... 0.163 eV per atom
Formation energy ... -20.1 meV/atom
Density ... 5.6 g cm⁻³
Calculated volume ... 124 Å³/cell
M_tot ... 0.00 μB/atom
Uncorrected energy ... -12.5 eV for the cell shown
Fermi-level density of states ... 0.78 states/eV/atom

Cell lengths 4.4916, 4.4916, 7.1151 Å; angles 90.00, 90.00, 120.00 degrees
Space group P3m1 (No. 156)
One atom of each set of equivalent atoms:
Ba 0.0000 0.0000 0.0000 [1 per cell]
Sr 0.3333 0.6667 0.4383 [1 per cell]
Ir 0.6667 0.3333 0.2275 [1 per cell]

---

Crystalline Er5TlRu2 at its relaxed geometry. Source: the Alexandria database, functional GGA-PBE.

Formation energy ... -412.2 meV/atom
Density ... 10.4 g cm⁻³
Calculated volume ... 797 Å³/cell
M_tot ... 0.00 μB/atom
Uncorrected energy ... -188.1 eV for the cell shown
Fermi-level density of states ... 0.65 states/eV/atom

Cell lengths 7.656, 7.656, 13.601 Å; angles 90.00, 90.00, 90.00 degrees
Space group I4/mcm (No. 140)
One atom of each set of equivalent atoms:
Er 0.000 0.000 0.000 [4 per cell]
Er 0.159 0.341 0.132 [16 per cell]
Tl 0.000 0.000 0.250 [4 per cell]
Ru 0.142 0.358 0.500 [8 per cell]

---

Crystalline ThNbPb at its relaxed geometry. Source: the Alexandria database, functional GGA-PBE.

Formation energy ... 40.3 meV/atom
Density ... 11.3 g cm⁻³
Calculated volume ... 156 Å³/cell
M_tot ... 0.00 μB/atom
Uncorrected energy ... -42.2 eV for the cell shown
Fermi-level density of states ... 0.87 states/eV/atom

Cell lengths 3.562, 3.562, 12.330 Å; angles 90.00, 90.00, 90.00 degrees
Space group P4/nmm (No. 129, origin choice 2)
One atom of each set of equivalent atoms:
Th 0.250 0.250 0.109 [2 per cell]
Nb 0.250 0.250 0.447 [2 per cell]
Pb 0.250 0.250 0.697 [2 per cell]

---

Crystalline LiSb2F7 at its relaxed geometry. Source: the Alexandria database, functional GGA-PBE.

Density ... 3.9 g cm⁻³
Formation energy without anion corrections ... -2.496 eV/atom
Calculated volume ... 646 Å³/cell
M_tot ... 0.00 μB/atom
Uncorrected energy ... -192.9 eV for the cell shown
Fermi-level density of states ... 0.00 states/eV/atom

Cell lengths 8.803, 14.528, 5.049 Å; angles 90.00, 90.00, 90.00 degrees
Space group Pnma (No. 62)
One atom of each set of equivalent atoms:
Li 0.055 0.250 0.119 [4 per cell]
Sb 0.122 0.600 0.326 [8 per cell]
F 0.026 0.656 0.641 [8 per cell]
F 0.099 0.750 0.170 [4 per cell]
F 0.160 0.007 0.582 [8 per cell]
F 0.182 0.150 0.953 [8 per cell]

---

Crystalline Re2WSe at its relaxed geometry. Source: the Alexandria database, functional GGA-PBE.

Density ... 17.2 g cm⁻³
Formation energy without anion corrections ... 0.438 eV/atom
Calculated volume ... 122 Å³/cell
M_tot ... 0.00 μB/atom
Uncorrected energy ... -79.2 eV for the cell shown
Fermi-level density of states ... 0.65 states/eV/atom

Cell lengths 2.996, 4.511, 9.061 Å; angles 90.00, 90.00, 90.00 degrees
Space group Imm2 (No. 44)
One atom of each set of equivalent atoms:
Re 0.000 0.000 0.000 [2 per cell]
Re 0.000 0.500 0.241 [2 per cell]
W 0.000 0.000 0.461 [2 per cell]
Se 0.000 0.500 0.730 [2 per cell]

---

Crystalline Pr6DySe8 at its relaxed geometry. Source: the Alexandria database, functional GGA-PBE.

Density ... 6.3 g cm⁻³
Formation energy without anion corrections ... -1.875 eV/atom
Calculated volume ... 1730 Å³/cell
M_tot ... 0.00 μB/atom
Uncorrected energy ... -357.1 eV for the cell shown
Fermi-level density of states ... 0.47 states/eV/atom

Cell lengths 12.005, 12.005, 12.005 Å; angles 90.00, 90.00, 90.00 degrees
Space group Fm-3m (No. 225)
One atom of each set of equivalent atoms:
Pr 0.000 0.250 0.250 [24 per cell]
Dy 0.000 0.000 0.000 [4 per cell]
Se 0.000 0.000 0.244 [24 per cell]
Se 0.250 0.250 0.250 [8 per cell]

---

Crystalline TiCo2Ir at its relaxed geometry. Source: the Alexandria database, functional GGA-PBE.

Formation energy ... 116.6 meV/atom
Density ... 10.5 g cm⁻³
Calculated volume ... 226 Å³/cell
M_tot ... 0.60 μB/atom
Uncorrected energy ... -122.0 eV for the cell shown
Fermi-level density of states ... 1.29 states/eV/atom

Cell lengths 3.588, 3.588, 17.520 Å; angles 90.00, 90.00, 90.00 degrees
Space group I-42d (No. 122)
One atom of each set of equivalent atoms:
Ti 0.000 0.000 0.000 [4 per cell]
Co 0.249 0.250 0.125 [8 per cell]
Ir 0.000 0.000 0.500 [4 per cell]

---

Crystalline K2RbSe2 at its relaxed geometry. Source: the Alexandria database, functional GGA-PBE.

ΔE to the lowest computed polymorph ... 0.094 eV per atom
Density ... 2.8 g cm⁻³
Formation energy without anion corrections ... -0.814 eV/atom
Calculated volume ... 378 Å³/cell
M_tot ... 0.19 μB/atom
Uncorrected energy ... -28.4 eV for the cell shown
Fermi-level density of states ... 0.30 states/eV/atom

Cell lengths 5.221, 5.221, 13.880 Å; angles 90.00, 90.00, 90.00 degrees
Space group I4/mmm (No. 139)
One atom of each set of equivalent atoms:
K 0.000 0.500 0.250 [4 per cell]
Rb 0.000 0.000 0.000 [2 per cell]
Se 0.000 0.000 0.390 [4 per cell]

---

Crystalline CrFeAs2 at its relaxed geometry. Source: the Alexandria database, functional GGA-PBE.

ΔE to the lowest computed polymorph ... 0.219 eV per atom
Formation energy ... 15.1 meV/atom
Density ... 7.8 g cm⁻³
Calculated volume ... 109 Å³/cell
M_tot ... 0.57 μB/atom
Uncorrected energy ... -54.6 eV for the cell shown
Fermi-level density of states ... 0.81 states/eV/atom

Cell lengths 8.437, 3.110, 4.285 Å; angles 90.00, 103.44, 90.00 degrees
Space group Cm (No. 8)
One atom of each set of equivalent atoms:
Cr 0.000 0.000 0.000 [2 per cell]
Fe 0.214 0.000 0.606 [2 per cell]
As 0.227 0.500 0.086 [2 per cell]
As 0.485 0.000 0.491 [2 per cell]

---

Crystalline BeAlIn2Hg at its relaxed geometry. Source: the Alexandria database, functional GGA-PBE.

Formation energy ... 498.2 meV/atom
Density ... 5.8 g cm⁻³
Calculated volume ... 134 Å³/cell
M_tot ... 0.00 μB/atom
Uncorrected energy ... -10.8 eV for the cell shown
Fermi-level density of states ... 0.47 states/eV/atom

Cell lengths 5.492, 5.492, 4.458 Å; angles 90.00, 90.00, 90.00 degrees
Space group P4/mmm (No. 123)
One atom of each set of equivalent atoms:
Be 0.000 0.000 0.000 [1 per cell]
Al 0.000 0.000 0.500 [1 per cell]
In 0.000 0.500 0.500 [2 per cell]
Hg 0.500 0.500 0.000 [1 per cell]

---

Crystalline TeWSe2 at its relaxed geometry. Source: the Alexandria database, functional GGA-PBE.

Density ... 7.5 g cm⁻³
Formation energy without anion corrections ... 0.201 eV/atom
Calculated volume ... 104 Å³/cell
M_tot ... 0.00 μB/atom
Uncorrected energy ... -22.3 eV for the cell shown
Fermi-level density of states ... 0.79 states/eV/atom

Cell lengths 2.789, 3.348, 11.148 Å; angles 90.00, 90.55, 90.00 degrees
Space group P2/m (No. 10)
One atom of each set of equivalent atoms:
Te 0.000 0.000 0.000 [1 per cell]
W 0.000 0.000 0.500 [1 per cell]
Se 0.009 0.500 0.674 [2 per cell]

---

Crystalline K3Tl5Sn2 at its relaxed geometry. Source: the Alexandria database, functional GGA-PBE.

ΔE to the lowest computed polymorph ... 0.048 eV per atom
Formation energy ... -58.3 meV/atom
Density ... 6.0 g cm⁻³
Calculated volume ... 1514 Å³/cell
M_tot ... 0.00 μB/atom
Uncorrected energy ... -94.8 eV for the cell shown
Fermi-level density of states ... 0.48 states/eV/atom

Cell lengths 12.674, 15.471, 7.722 Å; angles 90.00, 90.00, 90.00 degrees
Space group Ibam (No. 72)
One atom of each set of equivalent atoms:
K 0.000 0.000 0.250 [4 per cell]
K 0.238 0.371 0.000 [8 per cell]
Tl 0.000 0.254 0.250 [8 per cell]
Tl 0.000 0.500 0.250 [4 per cell]
Tl 0.136 0.376 0.500 [8 per cell]
Sn 0.135 0.151 0.000 [8 per cell]

---

Crystalline CaZr2P at its relaxed geometry. Source: the Alexandria database, functional GGA-PBE.

Formation energy ... -430.5 meV/atom
Density ... 4.5 g cm⁻³
Calculated volume ... 187 Å³/cell
M_tot ... 0.00 μB/atom
Uncorrected energy ... -52.5 eV for the cell shown
Fermi-level density of states ... 0.84 states/eV/atom

Cell lengths 3.430, 5.243, 10.408 Å; angles 90.00, 90.00, 90.00 degrees
Space group Immm (No. 71)
One atom of each set of equivalent atoms:
Ca 0.000 0.000 0.000 [2 per cell]
Zr 0.000 0.500 0.187 [4 per cell]
P 0.000 0.000 0.500 [2 per cell]

---

Crystalline SrInIN2 at its relaxed geometry. Source: the Alexandria database, functional GGA-PBE.

ΔE to the lowest computed polymorph ... 0.276 eV per atom
Density ... 3.4 g cm⁻³
Formation energy without anion corrections ... 0.921 eV/atom
Calculated volume ... 175 Å³/cell
M_tot ... 0.80 μB/atom
Uncorrected energy ... -18.0 eV for the cell shown
Fermi-level density of states ... 0.63 states/eV/atom

Cell lengths 5.105, 5.105, 6.705 Å; angles 90.00, 90.00, 90.00 degrees
Space group P4/mmm (No. 123)
One atom of each set of equivalent atoms:
Sr 0.000 0.000 0.000 [1 per cell]
In 0.500 0.500 0.500 [1 per cell]
I 0.000 0.000 0.500 [1 per cell]
N 0.000 0.500 0.000 [2 per cell]

---

Crystalline AcTh2RuN5 at its relaxed geometry. Source: the Alexandria database, functional GGA-PBE.

Density ... 10.3 g cm⁻³
Formation energy without anion corrections ... -1.044 eV/atom
Calculated volume ... 558 Å³/cell
M_tot ... 0.00 μB/atom
Uncorrected energy ... -317.0 eV for the cell shown
Fermi-level density of states ... 0.65 states/eV/atom

Cell lengths 6.852, 6.852, 11.879 Å; angles 90.00, 90.00, 90.00 degrees
Space group I4/mcm (No. 140)
One atom of each set of equivalent atoms:
Ac 0.000 0.000 0.250 [4 per cell]
Th 0.180 0.320 0.000 [8 per cell]
Ru 0.000 0.500 0.250 [4 per cell]
N 0.000 0.000 0.000 [4 per cell]
N 0.142 0.358 0.364 [16 per cell]